Er7Te2Au2 | GGA-PBEsol | relaxed

total magnetic moment	0.01	μB/cell
energy relative to the elements, uncorrected	-0.854	eV/atom

Structure (CIF):
```
data_Er7Te2Au2
_chemical_formula_sum 'Er28 Te8 Au8'
_cell_length_a 17.7731
_cell_length_b 3.9217
_cell_length_c 16.8346
_cell_angle_alpha 90.00
_cell_angle_beta 104.40
_cell_angle_gamma 90.00
_symmetry_space_group_name_H-M 'C 1 2/m 1'
_symmetry_Int_Tables_number 12
loop_
_symmetry_equiv_pos_as_xyz
'x,y,z'
'-x,-y,-z'
'-x,y,-z'
'x,-y,z'
'x+1/2,y+1/2,z'
'-x+1/2,-y+1/2,-z'
'-x+1/2,y+1/2,-z'
'x+1/2,-y+1/2,z'
loop_
_atom_site_label
_atom_site_fract_x
_atom_site_fract_y
_atom_site_fract_z
_atom_site_occupancy
Er1 0.0000 0.0000 0.0000 1
Er2 0.0000 0.5000 0.5000 1
Er3 0.0010 0.0000 0.3333 1
Er4 0.0742 0.5000 0.1716 1
Er5 0.1621 0.5000 0.9811 1
Er6 0.1757 0.0000 0.5322 1
Er7 0.1901 0.0000 0.3196 1
Er8 0.2203 0.0000 0.8056 1
Te1 0.0657 0.0000 0.8497 1
Te2 0.1343 0.5000 0.6627 1
Au1 0.1186 0.5000 0.3997 1
Au2 0.1698 0.0000 0.1110 1
```

EuAu | GGA-PBEsol | relaxed

ΔH_f (0 K)	-790	meV per atom
total magnetic moment	28.57	μB/cell

Structure (CIF):
```
data_EuAu
_chemical_formula_sum 'Eu4 Au4'
_cell_length_a 7.5021
_cell_length_b 4.6382
_cell_length_c 5.8918
_cell_angle_alpha 90.00
_cell_angle_beta 90.00
_cell_angle_gamma 90.00
_symmetry_space_group_name_H-M 'P n m a'
_symmetry_Int_Tables_number 62
loop_
_symmetry_equiv_pos_as_xyz
'x,y,z'
'-x,-y,-z'
'-x+1/2,-y,z+1/2'
'x+1/2,y,-z+1/2'
'x+1/2,-y+1/2,-z+1/2'
'-x+1/2,y+1/2,z+1/2'
'-x,y+1/2,-z'
'x,-y+1/2,z'
loop_
_atom_site_label
_atom_site_fract_x
_atom_site_fract_y
_atom_site_fract_z
_atom_site_occupancy
Eu1 0.1807 0.2500 0.1373 1
Au1 0.0401 0.2500 0.6417 1
```

Eu2Ge3Au | GGA-PBEsol | relaxed

ΔH_f (0 K)	-727	meV per atom
total magnetic moment	111.87	μB/cell

Structure (CIF):
```
data_Eu2Ge3Au
_chemical_formula_sum 'Eu16 Ge24 Au8'
_cell_length_a 8.5436
_cell_length_b 8.5452
_cell_length_c 14.7896
_cell_angle_alpha 90.00
_cell_angle_beta 90.00
_cell_angle_gamma 90.00
_symmetry_space_group_name_H-M 'F m m m'
_symmetry_Int_Tables_number 69
_symmetry_space_group_name_Hall '-F 2 2'
loop_
_atom_site_label
_atom_site_fract_x
_atom_site_fract_y
_atom_site_fract_z
_atom_site_occupancy
Eu1 0.2473 0.0000 0.0000 1
Eu2 0.2500 0.2500 0.2500 1
Ge1 0.0000 0.0000 0.1650 1
Ge2 0.0000 0.2484 0.0825 1
Au1 0.0000 0.0000 0.3333 1
```

EuIn2Au | GGA-PBEsol | relaxed

ΔH_f (0 K)	-592	meV per atom
total magnetic moment	28.03	μB/cell

Structure (CIF):
```
data_EuIn2Au
_chemical_formula_sum 'Eu4 In8 Au4'
_cell_length_a 4.6226
_cell_length_b 10.8918
_cell_length_c 7.4467
_cell_angle_alpha 90.00
_cell_angle_beta 90.00
_cell_angle_gamma 90.00
_symmetry_space_group_name_H-M 'C m c m'
_symmetry_Int_Tables_number 63
_symmetry_space_group_name_Hall '-C 2c 2'
loop_
_atom_site_label
_atom_site_fract_x
_atom_site_fract_y
_atom_site_fract_z
_atom_site_occupancy
Eu1 0.0000 0.0786 0.2500 1
In1 0.0000 0.3663 0.0506 1
Au1 0.0000 0.2089 0.7500 1
```

EuIn4Au2 | GGA-PBEsol | relaxed

ΔH_f (0 K)	-472	meV per atom
total magnetic moment	27.69	μB/cell

Structure (CIF):
```
data_EuIn4Au2
_chemical_formula_sum 'Eu4 In16 Au8'
_cell_length_a 18.4865
_cell_length_b 4.6068
_cell_length_c 7.3929
_cell_angle_alpha 90.00
_cell_angle_beta 90.00
_cell_angle_gamma 90.00
_symmetry_space_group_name_H-M 'P n m a'
_symmetry_Int_Tables_number 62
loop_
_symmetry_equiv_pos_as_xyz
'x,y,z'
'-x,-y,-z'
'-x+1/2,-y,z+1/2'
'x+1/2,y,-z+1/2'
'x+1/2,-y+1/2,-z+1/2'
'-x+1/2,y+1/2,z+1/2'
'-x,y+1/2,-z'
'x,-y+1/2,z'
loop_
_atom_site_label
_atom_site_fract_x
_atom_site_fract_y
_atom_site_fract_z
_atom_site_occupancy
Eu1 0.1423 0.2500 0.0278 1
In1 0.0353 0.7500 0.8575 1
In2 0.0676 0.2500 0.4880 1
In3 0.1862 0.7500 0.3262 1
In4 0.1878 0.7500 0.7362 1
Au1 0.0399 0.7500 0.2465 1
Au2 0.2180 0.2500 0.5330 1
```

EuPAu | GGA-PBEsol | relaxed

ΔH_f (0 K)	-977	meV per atom
total magnetic moment	14.04	μB/cell

Structure (CIF):
```
data_EuPAu
_chemical_formula_sum 'Eu2 P2 Au2'
_cell_length_a 4.2401
_cell_length_b 4.2401
_cell_length_c 8.0934
_cell_angle_alpha 90.00
_cell_angle_beta 90.00
_cell_angle_gamma 120.00
_symmetry_space_group_name_H-M 'P 63/m m c'
_symmetry_Int_Tables_number 194
_symmetry_space_group_name_Hall '-P 6c 2c'
loop_
_atom_site_label
_atom_site_fract_x
_atom_site_fract_y
_atom_site_fract_z
_atom_site_occupancy
Eu1 0.0000 0.0000 0.0000 1
P1 0.3333 0.6667 0.2500 1
Au1 0.3333 0.6667 0.7500 1
```

EuPbAu2 | GGA-PBEsol | relaxed

ΔH_f (0 K)	-545	meV per atom
total magnetic moment	27.60	μB/cell

Structure (CIF):
```
data_EuPbAu2
_chemical_formula_sum 'Eu4 Pb4 Au8'
_cell_length_a 7.1306
_cell_length_b 7.1306
_cell_length_c 7.1306
_cell_angle_alpha 90.00
_cell_angle_beta 90.00
_cell_angle_gamma 90.00
_symmetry_space_group_name_H-M 'F m -3 m'
_symmetry_Int_Tables_number 225
_symmetry_space_group_name_Hall '-F 4 2 3'
loop_
_atom_site_label
_atom_site_fract_x
_atom_site_fract_y
_atom_site_fract_z
_atom_site_occupancy
Eu1 0.0000 0.0000 0.0000 1
Pb1 0.0000 0.0000 0.5000 1
Au1 0.2500 0.2500 0.2500 1
```

Eu2Si4Pd3Au | GGA-PBEsol | relaxed

total magnetic moment	13.68	μB/cell
energy relative to the elements, uncorrected	-0.829	eV/atom

Structure (CIF):
```
data_Eu2Si4Pd3Au
_chemical_formula_sum 'Eu2 Si4 Pd3 Au1'
_cell_length_a 4.2028
_cell_length_b 4.2028
_cell_length_c 9.9590
_cell_angle_alpha 90.00
_cell_angle_beta 90.00
_cell_angle_gamma 90.00
_symmetry_space_group_name_H-M 'P -4 m 2'
_symmetry_Int_Tables_number 115
loop_
_symmetry_equiv_pos_as_xyz
'x,y,z'
'y,-x,-z'
'-x,-y,z'
'-y,x,-z'
'-x,y,z'
'-y,-x,-z'
'x,-y,z'
'y,x,-z'
loop_
_atom_site_label
_atom_site_fract_x
_atom_site_fract_y
_atom_site_fract_z
_atom_site_occupancy
Eu1 0.0000 0.5000 0.2485 1
Si1 0.0000 0.5000 0.6359 1
Si2 0.0000 0.5000 0.8732 1
Pd1 0.0000 0.0000 0.0000 1
Pd2 0.5000 0.5000 0.0000 1
Pd3 0.5000 0.5000 0.5000 1
Au1 0.0000 0.0000 0.5000 1
```

Eu2SbAu | GGA-PBEsol | relaxed

total magnetic moment	56.00	μB/cell
energy relative to the elements, uncorrected	-0.947	eV/atom

Structure (CIF):
```
data_Eu2SbAu
_chemical_formula_sum 'Eu8 Sb4 Au4'
_cell_length_a 7.5285
_cell_length_b 7.5285
_cell_length_c 7.5285
_cell_angle_alpha 90.00
_cell_angle_beta 90.00
_cell_angle_gamma 90.00
_symmetry_space_group_name_H-M 'F m -3 m'
_symmetry_Int_Tables_number 225
_symmetry_space_group_name_Hall '-F 4 2 3'
loop_
_atom_site_label
_atom_site_fract_x
_atom_site_fract_y
_atom_site_fract_z
_atom_site_occupancy
Eu1 0.2500 0.2500 0.2500 1
Sb1 0.0000 0.0000 0.0000 1
Au1 0.0000 0.0000 0.5000 1
```

Eu2Si3Au | GGA-PBEsol | relaxed

total magnetic moment	13.63	μB/cell
energy relative to the elements, uncorrected	-0.646	eV/atom

Structure (CIF):
```
data_Eu2Si3Au
_chemical_formula_sum 'Eu2 Si3 Au1'
_cell_length_a 4.1380
_cell_length_b 4.1380
_cell_length_c 8.5301
_cell_angle_alpha 90.00
_cell_angle_beta 90.00
_cell_angle_gamma 120.00
_symmetry_space_group_name_H-M 'P -6 m 2'
_symmetry_Int_Tables_number 187
_symmetry_space_group_name_Hall 'P -6 2'
loop_
_atom_site_label
_atom_site_fract_x
_atom_site_fract_y
_atom_site_fract_z
_atom_site_occupancy
Eu1 0.0000 0.0000 0.2466 1
Si1 0.3333 0.6667 0.0000 1
Si2 0.3333 0.6667 0.5000 1
Si3 0.6667 0.3333 0.0000 1
Au1 0.6667 0.3333 0.5000 1
```

EuTlAu2 | GGA-PBEsol | relaxed

ΔH_f (0 K)	-508	meV per atom
total magnetic moment	27.72	μB/cell

Structure (CIF):
```
data_EuTlAu2
_chemical_formula_sum 'Eu4 Tl4 Au8'
_cell_length_a 7.0954
_cell_length_b 7.0954
_cell_length_c 7.0954
_cell_angle_alpha 90.00
_cell_angle_beta 90.00
_cell_angle_gamma 90.00
_symmetry_space_group_name_H-M 'F m -3 m'
_symmetry_Int_Tables_number 225
_symmetry_space_group_name_Hall '-F 4 2 3'
loop_
_atom_site_label
_atom_site_fract_x
_atom_site_fract_y
_atom_site_fract_z
_atom_site_occupancy
Eu1 0.0000 0.0000 0.0000 1
Tl1 0.0000 0.0000 0.5000 1
Au1 0.2500 0.2500 0.2500 1
```

EuZnAu | GGA-PBEsol | relaxed

ΔH_f (0 K)	-630	meV per atom
total magnetic moment	28.47	μB/cell

Structure (CIF):
```
data_EuZnAu
_chemical_formula_sum 'Eu4 Zn4 Au4'
_cell_length_a 7.1873
_cell_length_b 4.5730
_cell_length_c 7.7505
_cell_angle_alpha 90.00
_cell_angle_beta 90.00
_cell_angle_gamma 90.00
_symmetry_space_group_name_H-M 'P n m a'
_symmetry_Int_Tables_number 62
loop_
_symmetry_equiv_pos_as_xyz
'x,y,z'
'-x,-y,-z'
'-x+1/2,-y,z+1/2'
'x+1/2,y,-z+1/2'
'x+1/2,-y+1/2,-z+1/2'
'-x+1/2,y+1/2,z+1/2'
'-x,y+1/2,-z'
'x,-y+1/2,z'
loop_
_atom_site_label
_atom_site_fract_x
_atom_site_fract_y
_atom_site_fract_z
_atom_site_occupancy
Eu1 0.0049 0.2500 0.2003 1
Zn1 0.1800 0.2500 0.5806 1
Au1 0.2053 0.7500 0.4078 1
```